# AcPmBN3 PBE-GGA relaxed
data_AcPmBN3
_chemical_formula_sum 'Ac2 Pm2 B2 N6'
_space_group_name_H-M_alt 'P 63/m m c'
_space_group_IT_number 194
_space_group_name_Hall '-P 6c 2c'
_cell_length_a 5.7701
_cell_length_b 5.7701
_cell_length_c 6.2978
_cell_angle_alpha 90.00
_cell_angle_beta 90.00
_cell_angle_gamma 120.00
loop_
_atom_site_label
_atom_site_type_symbol
_atom_site_fract_x
_atom_site_fract_y
_atom_site_fract_z
Ac1 Ac 0.3333 0.6667 0.2500
Pm1 Pm 0.0000 0.0000 0.0000
B1 B 0.3333 0.6667 0.7500
N1 N 0.1860 0.3720 0.7500
# * formation energy from raw total energies: -1.18 eV/atom
# * spin magnetization: 0.00 μB/cell